(1)
The following is a PBE calculation of a relaxed structure of KTcPd3, from Alexandria via LeMat-Bulk.

Unit cell a=4.8939 b=4.8939 c=4.8939 alpha=90.00 beta=90.00 gamma=90.00
With the nearest neighbours (Å) after each atom.
Atoms (fractional coordinates):
K  0.0000  0.0000  0.0000  6 Pd 2.45
Tc  0.5000  0.5000  0.5000  12 Pd 3.46
Pd  0.0000  0.0000  0.5000  2 K 2.45
Pd  0.0000  0.5000  0.0000  2 K 2.45
Pd  0.5000  0.0000  0.0000  2 K 2.45

Properties
- N(E_F): 1.848 states/eV/cell
- Formation enthalpy at 0 K: 180.6 kJ/mol of atoms
- E above lowest polymorph: 1116 meV/atom
- Uncorrected energy: -3.537 eV/atom
- Size of the total moment: 4.371 μB per formula unit

(2)
The following is a PBE calculation of a relaxed structure of KTcPd3, from Alexandria via LeMat-Bulk.

Unit cell a=4.9068 b=4.9068 c=4.9068 alpha=90.00 beta=90.00 gamma=90.00
With the nearest neighbours (Å) after each atom.
Atoms (fractional coordinates):
K  0.0000  0.0000  0.0000  12 Pd 3.47
Tc  0.5000  0.5000  0.5000  6 Pd 2.45
Pd  0.0000  0.5000  0.5000  2 Tc 2.45
Pd  0.5000  0.0000  0.5000  2 Tc 2.45
Pd  0.5000  0.5000  0.0000  2 Tc 2.45

Properties
- N(E_F): 5.708 states/eV/cell
- Formation enthalpy at 0 K: 72.9 kJ/mol of atoms
- E above lowest polymorph: 0 meV/atom
- Uncorrected energy: -4.653 eV/atom
- Size of the total moment: 0.000 μB per formula unit

(3)
The following is a PBE calculation of a relaxed structure of KTcTe2Pd, from Alexandria via LeMat-Bulk.

Unit cell a=5.4699 b=5.4699 c=5.1396 alpha=90.00 beta=90.00 gamma=90.00
With the nearest neighbours (Å) after each atom.
Atoms (fractional coordinates):
K  0.0000  0.0000  0.0000  8 Te 3.75, 4 Tc 3.87
Tc  0.5000  0.5000  0.0000  2 Pd 2.57
Te  0.0000  0.5000  0.5000  2 Pd 2.73
Te  0.5000  0.0000  0.5000  2 Pd 2.73
Pd  0.5000  0.5000  0.5000  2 Tc 2.57, 4 Te 2.73

Properties
- Formation energy without anion corrections: 439 meV per atom
- N(E_F): 3.221 states/eV/cell
- Uncorrected energy: -4.149 eV/atom
- Size of the total moment: 4.426 μB per formula unit

(4)
The following is a PBE calculation of a relaxed structure of KYTc2Pd, from Alexandria via LeMat-Bulk.

Unit cell a=5.1809 b=5.1809 c=5.2817 alpha=90.00 beta=90.00 gamma=90.00
With the nearest neighbours (Å) after each atom.
Atoms (fractional coordinates):
K  0.0000  0.0000  0.0000  4 Pd 3.66, 8 Tc 3.70
Y  0.5000  0.5000  0.5000  4 Tc 2.59, 2 Pd 2.64
Tc  0.0000  0.5000  0.5000  2 Y 2.59
Tc  0.5000  0.0000  0.5000  2 Y 2.59
Pd  0.5000  0.5000  0.0000  2 Y 2.64

Properties
- N(E_F): 4.496 states/eV/cell
- Formation enthalpy at 0 K: 150.0 kJ/mol of atoms
- Uncorrected energy: -5.143 eV/atom
- Size of the total moment: 4.985 μB per formula unit

(5)
The following is a PBE calculation of a relaxed structure of K2TePd2, from Alexandria via LeMat-Bulk.

Unit cell a=7.0834 b=7.0834 c=5.3076 alpha=90.00 beta=90.00 gamma=90.00
With the nearest neighbours (Å) after each atom.
Atoms (fractional coordinates):
K  0.1733  0.3267  0.0000  6 Pd 3.23-3.48, 1 K 3.47
K  0.3267  0.8267  0.0000  6 Pd 3.23-3.48, 1 K 3.47
K  0.6733  0.1733  0.0000  6 Pd 3.23-3.48, 1 K 3.47
K  0.8267  0.6733  0.0000  6 Pd 3.23-3.48, 1 K 3.47
Te  0.0000  0.0000  0.5000  4 Pd 2.72
Te  0.5000  0.5000  0.5000  4 Pd 2.72
Pd  0.1435  0.6435  0.5000  2 Te 2.72, 1 Pd 2.88
Pd  0.3565  0.1435  0.5000  2 Te 2.72, 1 Pd 2.88
Pd  0.6435  0.8565  0.5000  2 Te 2.72, 1 Pd 2.88
Pd  0.8565  0.3565  0.5000  2 Te 2.72, 1 Pd 2.88

Properties
- Formation energy without anion corrections: -335 meV per atom
- N(E_F): 4.174 states/eV/cell
- Uncorrected energy: -3.479 eV/atom
- Size of the total moment: 0.000 μB per formula unit

(6)
The following is a PBE calculation of a relaxed structure of K2Te2Pd, from Alexandria via LeMat-Bulk.

Unit cell a=10.3414 b=10.3414 c=10.3414 alpha=155.84 beta=155.84 gamma=34.43
With the nearest neighbours (Å) after each atom.
Atoms (fractional coordinates):
K  0.0969  0.0969  0.0000  4 Pd 3.61, 4 Te 3.72, 1 K 3.83
K  0.9031  0.9031  0.0000  4 Pd 3.61, 4 Te 3.72, 1 K 3.83
Te  0.2500  0.7500  0.5000  4 Te 3.06
Te  0.7500  0.2500  0.5000  4 Te 3.06
Pd  0.5000  0.5000  0.0000  8 K 3.61

Properties
- Formation energy without anion corrections: -105 meV per atom
- N(E_F): 2.163 states/eV/cell
- Uncorrected energy: -2.839 eV/atom
- Size of the total moment: 0.000 μB per formula unit